Version 1
{
  "formula": "Pm2PuSc",
  "functional": "PBE",
  "state": "relaxed",
  "lattice": [[3.4943, 0.0000, 0.0000], [0.0000, 3.4943, 0.0000], [0.0000, 0.0000, 9.8332]],
  "species": ["Pm", "Pu", "Pm", "Sc"],
  "frac_coords": [[0.0000, 0.0000, 0.2419], [0.5000, 0.5000, 0.5000], [0.0000, 0.0000, 0.7581], [0.5000, 0.5000, 0.0000]],
  "m_tot_mub_per_fu": 5.646,
  "spacegroup": "P4/mmm, No. 123"
}


Version 2
{
  "formula": "Pm2PuSc",
  "functional": "PBE",
  "state": "relaxed",
  "lattice": [[3.6534, 0.0000, 0.0000], [0.0000, 5.7045, 0.0000], [0.0000, 0.0000, 5.7045]],
  "species": ["Pm", "Pu", "Pm", "Sc"],
  "frac_coords": [[0.0000, 0.0000, 0.5000], [0.5000, 0.0000, 0.0000], [0.0000, 0.5000, 0.0000], [0.5000, 0.5000, 0.5000]],
  "m_tot_mub_per_fu": 7.049,
  "spacegroup": "P4/mmm, No. 123"
}


Version 3
{
  "formula": "Pm2PuSc",
  "functional": "PBE",
  "state": "relaxed",
  "lattice": [[5.5426, 0.0000, 0.0000], [2.7713, 4.8000, 0.0000], [2.7713, 1.6000, 4.5255]],
  "species": ["Sc", "Pm", "Pm", "Pu"],
  "frac_coords": [[0.5000, 0.5000, 0.5000], [0.7500, 0.7500, 0.7500], [0.2500, 0.2500, 0.2500], [0.0000, 0.0000, 0.0000]],
  "m_tot_mub_per_fu": 7.494,
  "spacegroup": "Fm-3m, No. 225"
}


Version 4
{
  "formula": "Pm2PuSc",
  "functional": "PBE",
  "state": "relaxed",
  "lattice": [[3.5060, 0.0000, 0.0000], [1.7530, 3.0362, 0.0000], [1.7530, 1.0121, 11.3151]],
  "species": ["Sc", "Pm", "Pu", "Pm"],
  "frac_coords": [[0.5000, 0.5000, 0.5000], [0.2476, 0.2476, 0.2573], [0.6670, 0.6670, 0.9991], [0.0855, 0.0855, 0.7436]],
  "m_tot_mub_per_fu": 6.175,
  "spacegroup": "R3m, No. 160"
}


Name the least stable of them. version 3.


Version 1
{
  "formula": "PmPuSe2",
  "functional": "PBE",
  "state": "relaxed",
  "lattice": [[4.0900, 0.0000, 0.0000], [-2.0450, 3.5420, 0.0000], [0.0000, 0.0000, 14.2779]],
  "species": ["Pu", "Se", "Se", "Pm", "Pm", "Se", "Se", "Pu"],
  "frac_coords": [[0.6667, 0.3333, 0.2500], [0.6667, 0.3333, 0.8759], [0.3333, 0.6667, 0.1241], [0.0000, 0.0000, 0.5000], [0.0000, 0.0000, 0.0000], [0.6667, 0.3333, 0.6241], [0.3333, 0.6667, 0.3759], [0.3333, 0.6667, 0.7500]],
  "m_tot_mub_per_fu": 5.960,
  "spacegroup": "P6_3/mmc, No. 194"
}


Version 2
{
  "formula": "PmPuSe2",
  "functional": "PBE",
  "state": "relaxed",
  "lattice": [[5.8940, 0.0000, 0.0000], [0.0000, 5.8940, 0.0000], [-2.9470, -2.9470, 5.9055]],
  "species": ["Pu", "Pm", "Se", "Pm", "Se", "Se", "Pu", "Se"],
  "frac_coords": [[0.7500, 0.2500, 0.5000], [0.2500, 0.7500, 0.5000], [0.7529, 0.7529, 0.5057], [0.5000, 0.5000, 0.0000], [0.2471, 0.2471, 0.4943], [0.5029, 0.0029, 0.0057], [0.0000, 0.0000, 0.0000], [0.9971, 0.4971, 0.9943]],
  "m_tot_mub_per_fu": 5.764,
  "spacegroup": "I4_1/amd, No. 141"
}


Name the least stable of them. version 1.


Version 1
{
  "formula": "PmPuSe2",
  "functional": "PBE",
  "state": "relaxed",
  "lattice": [[3.5939, 0.0000, 0.0000], [0.0000, 5.1332, 0.0000], [0.0000, 0.0000, 5.1332]],
  "species": ["Pu", "Se", "Pm", "Se"],
  "frac_coords": [[0.5000, 0.0000, 0.0000], [0.0000, 0.5000, 0.0000], [0.5000, 0.5000, 0.5000], [0.0000, 0.0000, 0.5000]],
  "m_tot_mub_per_fu": 6.530,
  "spacegroup": "P4/mmm, No. 123"
}


Version 2
{
  "formula": "PmPuSe2",
  "functional": "PBE",
  "state": "relaxed",
  "lattice": [[-0.4253, 0.1839, 4.0146], [1.6062, -2.8800, 2.3362], [6.6140, 2.9615, 2.5991]],
  "species": ["Pu", "Pm", "Se", "Se"],
  "frac_coords": [[0.6706, 0.6706, 0.9882], [0.4965, 0.4965, 0.5106], [0.0807, 0.0807, 0.7580], [0.2523, 0.2523, 0.2432]],
  "m_tot_mub_per_fu": 5.365,
  "spacegroup": "R3m, No. 160"
}


Name the least stable of them. version 1.


Version 1
{
  "formula": "PmPuSe2",
  "functional": "PBE",
  "state": "relaxed",
  "lattice": [[4.1547, 0.0000, 0.0000], [2.0773, 3.5980, 0.0000], [2.0773, 1.1993, 6.8558]],
  "species": ["Pu", "Se", "Pm", "Se"],
  "frac_coords": [[0.0000, 0.0000, 0.0000], [0.2517, 0.2517, 0.2450], [0.5000, 0.5000, 0.5000], [0.7483, 0.7483, 0.7550]],
  "m_tot_mub_per_fu": 5.808,
  "spacegroup": "R-3m, No. 166"
}


Version 2
{
  "formula": "PmPuSe2",
  "functional": "PBE",
  "state": "relaxed",
  "lattice": [[-4.2996, -2.2425, 1.6542], [-2.5512, -3.2202, -3.0616], [-0.0401, -5.0197, 1.0259]],
  "species": ["Se", "Pu", "Pm", "Se"],
  "frac_coords": [[0.7500, 0.7500, 0.7500], [0.0000, 0.0000, 0.0000], [0.5000, 0.5000, 0.5000], [0.2500, 0.2500, 0.2500]],
  "m_tot_mub_per_fu": 6.728,
  "spacegroup": "Fm-3m, No. 225"
}


Name the least stable of them. version 2.